# 1
First-principles (GGA-PBE) data for an optimized crystal structure of AlTlSb2, as listed in the Alexandria database.

POSCAR file:
```
AlTlSb2
1.0
-2.345 2.345 4.871
2.345 -2.345 4.871
2.345 2.345 -4.871
Al Tl Sb
1 1 2
Cartesian
0.000 0.000 0.000
0.000 0.000 4.871
2.345 0.000 2.435
0.000 2.345 2.435
```

Output
Energy relative to the lowest polymorph listed for this composition (meV per atom): 246.9

# 2
First-principles (GGA-PBE) data for an optimized crystal structure of AlTlSb, as listed in the Alexandria database.

POSCAR file:
```
AlTlSb
1.0
-1.686 1.936 6.162
1.686 -1.936 6.162
1.686 1.936 -6.162
Al Tl Sb
1 1 1
Cartesian
0.000 0.000 0.000
0.000 0.000 4.006
0.000 0.000 7.590
```

Output
Energy relative to the lowest polymorph listed for this composition (meV per atom): 141.7

# 3
First-principles (GGA-PBE) data for an optimized crystal structure of Al2TlSb, as listed in the Alexandria database.

POSCAR file:
```
Al2TlSb
1.0
6.218 -1.557 0.000
6.218 1.557 0.000
-2.325 0.000 4.911
Al Tl Sb
2 1 1
Cartesian
0.000 0.000 0.000
8.266 0.000 1.074
1.161 0.000 3.646
4.409 0.000 2.156
```

Output
Energy relative to the lowest polymorph listed for this composition (meV per atom): 69.3

# 4
First-principles (GGA-PBE) data for an optimized crystal structure of Al2TlSb, as listed in the Alexandria database.

POSCAR file:
```
Al2TlSb
1.0
0.000 3.630 3.630
3.630 0.000 3.630
3.630 3.630 0.000
Al Tl Sb
2 1 1
Cartesian
0.000 0.000 0.000
1.815 1.815 1.815
5.445 5.445 5.445
3.630 3.630 3.630
```

Output
Energy relative to the lowest polymorph listed for this composition (meV per atom): 194.0